Pr7Y3Ho: optimized geometry, PBE.

```
Pr7Y3Ho
1.0
6.471 -5.745 0.000
6.471 5.745 0.000
-2.750 0.000 5.300
Pr Y Ho
7 3 1
Direct
0.000 0.000 0.000
0.096 0.519 0.308
0.289 0.289 0.790
0.481 0.904 0.692
0.519 0.096 0.308
0.711 0.711 0.210
0.904 0.481 0.692
0.296 0.704 0.000
0.500 0.500 0.500
0.704 0.296 0.000
0.000 0.000 0.500
```

Values from the calculation:
total magnetization: 0.00 Bohr magnetons per cell
formation energy from the elements: 0.2202 eV/atom
E_tot: -5.0004 eV per atom
E above lowest polymorph: 0.000 kcal/mol of atoms
space-group type: C2/m



K2BaSiO4: optimized geometry, PBE.

```
K2BaSiO4
1.0
-2.950 2.950 4.553
2.950 -2.950 4.553
2.950 2.950 -4.553
K Ba Si O
2 1 1 4
Direct
0.000 0.000 0.000
0.750 0.250 0.500
0.500 0.500 0.000
0.250 0.750 0.500
0.190 0.024 0.512
0.322 0.810 0.834
0.512 0.678 0.488
0.976 0.488 0.166
```

Values from the calculation:
total magnetization: 0.00 Bohr magnetons per cell
raw formation energy: -2.356 eV per atom
E_tot: -6.0274 eV per atom
space-group type: I-4



Cs3ErCu2I8: optimized geometry, PBE.

```
Cs3ErCu2I8
1.0
8.391 0.000 0.000
-4.195 7.266 0.000
0.000 0.000 10.658
Cs Er Cu I
3 1 2 8
Direct
0.000 0.000 0.000
0.333 0.667 0.642
0.667 0.333 0.358
0.000 0.000 0.500
0.333 0.667 0.223
0.667 0.333 0.777
0.165 0.330 0.329
0.165 0.835 0.329
0.330 0.165 0.671
0.333 0.667 0.990
0.667 0.333 0.010
0.670 0.835 0.329
0.835 0.165 0.671
0.835 0.670 0.671
```

Values from the calculation:
total magnetization: 0.00 Bohr magnetons per cell
raw formation energy: -1.059 eV per atom
E_tot: -3.0383 eV per atom
space-group type: P-3m1



Cs3Np2FeSe6: optimized geometry, PBE.

```
Cs3Np2FeSe6
1.0
3.649 -6.293 0.000
3.649 6.293 0.000
-2.436 0.000 8.316
Cs Np Fe Se
3 2 1 6
Direct
0.000 0.000 0.000
0.333 0.667 0.000
0.667 0.333 0.000
0.166 0.834 0.500
0.834 0.166 0.500
0.500 0.500 0.500
0.120 0.440 0.322
0.236 0.236 0.681
0.440 0.120 0.322
0.560 0.880 0.678
0.764 0.764 0.319
0.880 0.560 0.678
```

Values from the calculation:
total magnetization: 10.82 Bohr magnetons per cell
raw formation energy: -0.959 eV per atom
E_tot: -5.7764 eV per atom
space-group type: C2/m



Li2MgSnHg4: optimized geometry, PBE.

```
Li2MgSnHg4
1.0
2.438 1.408 8.423
-2.438 1.408 8.423
0.000 -2.815 8.423
Li Mg Sn Hg
2 1 1 4
Direct
0.248 0.248 0.248
0.752 0.752 0.752
0.000 0.000 0.000
0.500 0.500 0.500
0.115 0.115 0.115
0.371 0.371 0.371
0.629 0.629 0.629
0.885 0.885 0.885
```

Values from the calculation:
total magnetization: 0.00 Bohr magnetons per cell
formation energy from the elements: -0.2404 eV/atom
E_tot: -1.5695 eV per atom
space-group type: R-3m



Ba3Ca5F12: optimized geometry, PBE.

```
Ba3Ca5F12
1.0
-7.458 7.458 7.458
7.458 -7.458 7.458
7.458 7.458 -7.458
Ba Ca F
12 20 48
Direct
0.125 0.250 0.375
0.125 0.375 0.750
0.250 0.375 0.125
0.250 0.875 0.625
0.375 0.125 0.250
0.375 0.750 0.125
0.625 0.250 0.875
0.625 0.875 0.750
0.750 0.125 0.375
0.750 0.625 0.875
0.875 0.625 0.250
0.875 0.750 0.625
0.000 0.000 0.000
0.000 0.000 0.500
0.000 0.500 0.000
0.000 0.500 0.500
0.125 0.750 0.875
0.125 0.875 0.250
0.250 0.125 0.875
0.250 0.625 0.375
0.375 0.250 0.625
0.375 0.625 0.750
0.500 0.000 0.000
0.500 0.000 0.500
0.500 0.500 0.000
0.500 0.500 0.500
0.625 0.375 0.250
0.625 0.750 0.375
0.750 0.375 0.625
0.750 0.875 0.125
0.875 0.125 0.750
0.875 0.250 0.125
0.035 0.200 0.138
0.035 0.335 0.897
0.062 0.700 0.665
0.062 0.862 0.397
0.103 0.638 0.438
0.103 0.965 0.665
0.138 0.035 0.200
0.138 0.603 0.938
0.165 0.200 0.562
0.165 0.465 0.603
0.200 0.138 0.035
0.200 0.562 0.165
0.300 0.335 0.938
0.300 0.465 0.362
0.335 0.897 0.035
0.335 0.938 0.300
0.362 0.300 0.465
0.362 0.562 0.897
0.397 0.062 0.862
0.397 0.835 0.535
0.438 0.103 0.638
0.438 0.835 0.800
0.465 0.362 0.300
0.465 0.603 0.165
0.535 0.397 0.835
0.535 0.638 0.700
0.562 0.165 0.200
0.562 0.897 0.362
0.603 0.165 0.465
0.603 0.938 0.138
0.638 0.438 0.103
0.638 0.700 0.535
0.665 0.062 0.700
0.665 0.103 0.965
0.700 0.535 0.638
0.700 0.665 0.062
0.800 0.438 0.835
0.800 0.862 0.965
0.835 0.535 0.397
0.835 0.800 0.438
0.862 0.397 0.062
0.862 0.965 0.800
0.897 0.035 0.335
0.897 0.362 0.562
0.938 0.138 0.603
0.938 0.300 0.335
0.965 0.665 0.103
0.965 0.800 0.862
```

Values from the calculation:
total magnetization: 2.85 Bohr magnetons per cell
raw formation energy: -3.329 eV per atom
E_tot: -5.2402 eV per atom
space-group type: Ia-3d